# 1
Entry from Alexandria via LeMat-Bulk: a geometry-optimized MgZn2Si structure (GGA-PBEsol).

Cell lengths 3.9126, 4.1641, 7.7618 Å; angles 90.00, 90.00, 90.00 degrees
Space group Cmm2 (No. 35)
Inequivalent atoms, fractional coordinates:
Mg 0.0000 0.0000 0.0000
Zn 0.0000 0.0000 0.5055
Zn 0.0000 0.5000 0.7369
Si 0.0000 0.5000 0.2672

Formation energy (no corrections), eV per formula unit: 0.41
E_tot, eV/atom: -2.555
Distance to the lowest polymorph of the same formula, kJ per mole of atoms: 2.3

# 2
Entry from Alexandria via LeMat-Bulk: a geometry-optimized Zr2Si4Ni3 structure (GGA-PBEsol).

Cell lengths 5.1520, 13.6441, 6.8467 Å; angles 90.00, 90.00, 90.00 degrees
Space group Cmce (No. 64)
Inequivalent atoms, fractional coordinates:
Zr 0.0000 0.1045 0.0980
Si 0.0000 0.1824 0.4773
Si 0.2500 0.0613 0.7500
Ni 0.0000 0.0000 0.5000
Ni 0.2500 0.2277 0.7500

Formation energy (no corrections), eV per formula unit: -8.03
E_tot, eV/atom: -7.519

# 3
Entry from Alexandria via LeMat-Bulk: a geometry-optimized TlCd2Rh2 structure (GGA-PBEsol).

Cell lengths 6.7961, 6.7961, 3.9792 Å; angles 90.00, 90.00, 90.00 degrees
Space group P4/mbm (No. 127)
Inequivalent atoms, fractional coordinates:
Tl 0.0000 0.0000 0.0000
Cd 0.1581 0.3419 0.5000
Rh 0.1370 0.6370 0.0000

Formation energy from the elements, eV per formula unit: -0.21
E_tot, eV/atom: -4.302

# 4
Entry from Alexandria via LeMat-Bulk: a geometry-optimized ZrTlF3 structure (GGA-PBEsol).

Cell lengths 4.3531, 4.3531, 4.3531 Å; angles 90.00, 90.00, 90.00 degrees
Space group Pm-3m (No. 221)
Inequivalent atoms, fractional coordinates:
Zr 0.0000 0.0000 0.0000
Tl 0.5000 0.5000 0.5000
F 0.0000 0.0000 0.5000

Formation energy (no corrections), eV per formula unit: -11.50
E_tot, eV/atom: -5.801

# 5
Entry from Alexandria via LeMat-Bulk: a geometry-optimized ScTc2Ru structure (GGA-PBEsol).

Cell lengths 2.7483, 4.3964, 5.0088 Å; angles 90.00, 102.36, 90.00 degrees
Space group P2/m (No. 10)
Inequivalent atoms, fractional coordinates:
Sc 0.0000 0.0000 0.0000
Tc 0.2381 0.5000 0.7501
Ru 0.5000 0.0000 0.5000

Formation energy from the elements, eV per formula unit: 0.16
E_tot, eV/atom: -9.788
Distance to the lowest polymorph of the same formula, kJ per mole of atoms: 10.5

# 6
Entry from Alexandria via LeMat-Bulk: a geometry-optimized CaNd2S4 structure (GGA-PBEsol).

Cell lengths 8.4273, 8.4273, 8.4830 Å; angles 90.00, 90.00, 90.00 degrees
Space group I-42d (No. 122)
Inequivalent atoms, fractional coordinates:
Ca 0.0000 0.0000 0.0000
Nd 0.1280 0.2500 0.6250
S 0.0755 0.1765 0.3019

Formation energy (no corrections), eV per formula unit: -15.05
E_tot, eV/atom: -6.436

# 7
Entry from Alexandria via LeMat-Bulk: a geometry-optimized CaYC3 structure (GGA-PBEsol).

Cell lengths 4.4271, 4.4271, 4.4271 Å; angles 90.00, 90.00, 90.00 degrees
Space group Pm-3m (No. 221)
Inequivalent atoms, fractional coordinates:
Ca 0.0000 0.0000 0.0000
Y 0.5000 0.5000 0.5000
C 0.0000 0.5000 0.5000

Formation energy from the elements, eV per formula unit: 9.05
E_tot, eV/atom: -5.767

# 8
Entry from Alexandria via LeMat-Bulk: a geometry-optimized LiCl2 structure (GGA-PBEsol).

Cell lengths 4.6745, 4.6745, 3.4876 Å; angles 90.00, 90.00, 120.00 degrees
Space group P6/mmm (No. 191)
Inequivalent atoms, fractional coordinates:
Li 0.0000 0.0000 0.0000
Cl 0.3333 0.6667 0.5000

Formation energy (no corrections), eV per formula unit: -1.76
E_tot, eV/atom: -2.581
Distance to the lowest polymorph of the same formula, kJ per mole of atoms: 53.5